(1)
A plane-wave DFT calculation with PBE was carried out for CaTaMn2 after structural relaxation.

Unit cell a=5.734 b=5.734 c=5.734 alpha=150.99 beta=129.37 gamma=59.41
Element x y z (fractional)
Ca: 0.241 0.741 0.500
Mn: 0.765 0.265 0.500
Mn: 0.958 0.958 0.000
Ta: 0.536 0.536 0.000

Its total energy is -30.08 eV per cell. Its magnetization is 0.7 μB per formula unit. The space group is Imm2, No. 44.

(2)
A plane-wave DFT calculation with PBE was carried out for CaTaMn after structural relaxation.

Unit cell a=6.232 b=6.232 c=6.232 alpha=149.91 beta=149.91 gamma=43.08
Element x y z (fractional)
Ta: 0.712 0.712 0.000
Mn: 0.300 0.300 0.000
Ca: 0.988 0.988 0.000

Its total energy is -21.86 eV per cell. Its magnetization is 0.0 μB per formula unit. The space group is I4mm, No. 107.

(3)
A plane-wave DFT calculation with PBE was carried out for CaTaMn2 after structural relaxation.

Unit cell a=4.654 b=4.654 c=4.654 alpha=60.00 beta=60.00 gamma=60.00
Element x y z (fractional)
Ta: 0.500 0.500 0.500
Mn: 0.250 0.250 0.250
Mn: 0.750 0.750 0.750
Ca: 0.000 0.000 0.000

Its total energy is -30.09 eV per cell. Its magnetization is 4.1 μB per formula unit. The space group is Fm-3m, No. 225.

(4)
A plane-wave DFT calculation with PBE was carried out for CaTaMn2 after structural relaxation.

Unit cell a=4.467 b=4.467 c=6.409 alpha=84.56 beta=84.56 gamma=39.31
Element x y z (fractional)
Mn: 0.514 0.514 0.419
Mn: 0.986 0.986 0.081
Ta: 0.250 0.250 0.250
Ca: 0.750 0.750 0.750

Its total energy is -30.19 eV per cell. Its magnetization is 5.0 μB per formula unit. The space group is C2/m, No. 12.

(5)
A plane-wave DFT calculation with PBE was carried out for CaTaMn2 after structural relaxation.

Unit cell a=4.690 b=4.690 c=9.015 alpha=74.92 beta=74.92 gamma=90.00
Element x y z (fractional)
Ca: 0.500 0.500 0.000
Ca: 0.250 0.750 0.500
Mn: 0.875 0.625 0.250
Mn: 0.875 0.125 0.250
Mn: 0.875 0.125 0.750
Mn: 0.375 0.125 0.750
Ta: 0.000 0.000 0.000
Ta: 0.750 0.250 0.500

Its total energy is -56.26 eV per cell. Its magnetization is 2.9 μB per formula unit. The space group is I4_1/amd, No. 141.

(6)
A plane-wave DFT calculation with PBE was carried out for CaTa4Mn after structural relaxation.

Unit cell a=5.605 b=5.605 c=5.605 alpha=60.00 beta=60.00 gamma=60.00
Element x y z (fractional)
Mn: 0.000 0.000 0.000
Ca: 0.750 0.750 0.750
Ta: 0.872 0.376 0.376
Ta: 0.376 0.872 0.376
Ta: 0.376 0.376 0.376
Ta: 0.376 0.376 0.872

Its total energy is -54.84 eV per cell. Its magnetization is 3.0 μB per formula unit. The space group is F-43m, No. 216.

(7)
A plane-wave DFT calculation with PBE was carried out for Ca4TaMn after structural relaxation.

Unit cell a=6.415 b=6.415 c=6.415 alpha=60.00 beta=60.00 gamma=60.00
Element x y z (fractional)
Ca: 0.625 0.625 0.625
Ca: 0.124 0.625 0.625
Ca: 0.625 0.625 0.124
Ca: 0.625 0.124 0.625
Mn: 0.250 0.250 0.250
Ta: 0.000 0.000 0.000

Its total energy is -22.06 eV per cell. Its magnetization is 9.3 μB per formula unit. The space group is F-43m, No. 216.

(8)
A plane-wave DFT calculation with PBE was carried out for CaTaMn after structural relaxation.

Unit cell a=4.754 b=4.754 c=3.096 alpha=90.00 beta=90.00 gamma=120.00
Element x y z (fractional)
Ta: 0.667 0.333 0.499
Mn: 0.333 0.667 0.501
Ca: 0.000 0.000 0.000

Its total energy is -20.75 eV per cell. Its magnetization is 1.9 μB per formula unit. The space group is P-6m2, No. 187.

(9)
A plane-wave DFT calculation with PBE was carried out for Ca2ZrTaMn after structural relaxation.

Unit cell a=5.292 b=4.560 c=5.292 alpha=90.00 beta=90.00 gamma=90.00
Element x y z (fractional)
Ca: 0.000 0.000 0.500
Ca: 0.500 0.000 0.000
Ta: 0.000 0.500 0.000
Mn: 0.000 0.000 0.000
Zr: 0.500 0.500 0.500

Its total energy is -28.56 eV per cell. Its magnetization is 0.0 μB per formula unit. The space group is P4/mmm, No. 123.

(10)
A plane-wave DFT calculation with PBE was carried out for CaTb2Mn after structural relaxation.

Unit cell a=3.539 b=3.539 c=9.330 alpha=90.00 beta=90.00 gamma=90.00
Element x y z (fractional)
Mn: 0.500 0.500 0.000
Tb: 0.000 0.000 0.817
Tb: 0.000 0.000 0.183
Ca: 0.500 0.500 0.500

Its total energy is -19.89 eV per cell. Its magnetization is 2.6 μB per formula unit. The space group is P4/mmm, No. 123.

(11)
A plane-wave DFT calculation with PBE was carried out for Ca2MnTc after structural relaxation.

Unit cell a=3.289 b=3.289 c=8.716 alpha=90.00 beta=90.00 gamma=90.00
Element x y z (fractional)
Ca: 0.000 0.000 0.931
Ca: 0.500 0.500 0.319
Tc: 0.500 0.500 0.678
Mn: 0.000 0.000 0.573

Its total energy is -22.29 eV per cell. Its magnetization is 2.2 μB per formula unit. The space group is P4mm, No. 99.

(12)
A plane-wave DFT calculation with PBE was carried out for Ca2MnTc after structural relaxation.

Unit cell a=7.016 b=5.547 c=2.998 alpha=89.89 beta=64.89 gamma=121.19
Element x y z (fractional)
Mn: 0.000 0.500 0.500
Ca: 0.000 0.000 0.000
Ca: 0.500 0.000 0.500
Tc: 0.500 0.500 0.000

Its total energy is -20.61 eV per cell. Its magnetization is 3.8 μB per formula unit. The space group is C2/m, No. 12.

(13)
A plane-wave DFT calculation with PBE was carried out for Ca2MnTc after structural relaxation.

Unit cell a=4.932 b=4.932 c=4.929 alpha=120.14 beta=120.14 gamma=89.79
Element x y z (fractional)
Ca: 0.000 0.000 0.000
Ca: 0.250 0.750 0.500
Tc: 0.750 0.250 0.500
Mn: 0.500 0.500 0.000

Its total energy is -20.84 eV per cell. Its magnetization is 4.1 μB per formula unit. The space group is F222, No. 22.

(14)
A plane-wave DFT calculation with PBE was carried out for CaMn2Tc2 after structural relaxation.

Unit cell a=7.527 b=7.527 c=2.724 alpha=90.00 beta=90.00 gamma=90.00
Element x y z (fractional)
Mn: 0.370 0.870 0.000
Mn: 0.630 0.130 0.000
Mn: 0.130 0.370 0.000
Mn: 0.870 0.630 0.000
Ca: 0.500 0.500 0.000
Ca: 0.000 0.000 0.000
Tc: 0.844 0.344 0.500
Tc: 0.656 0.844 0.500
Tc: 0.344 0.156 0.500
Tc: 0.156 0.656 0.500

Its total energy is -78.83 eV per cell. Its magnetization is 2.1 μB per formula unit. The space group is P4/mbm, No. 127.

(15)
A plane-wave DFT calculation with PBE was carried out for CaMnTc after structural relaxation.

Unit cell a=4.352 b=4.352 c=4.352 alpha=60.00 beta=60.00 gamma=60.00
Element x y z (fractional)
Ca: 0.500 0.500 0.500
Tc: 0.000 0.000 0.000
Mn: 0.750 0.750 0.750

Its total energy is -18.78 eV per cell. Its magnetization is 1.5 μB per formula unit. The space group is F-43m, No. 216.

(16)
A plane-wave DFT calculation with PBE was carried out for Ca2MnTc after structural relaxation.

Unit cell a=3.349 b=3.349 c=8.359 alpha=90.00 beta=90.00 gamma=89.95
Element x y z (fractional)
Ca: 0.000 0.000 0.518
Ca: 0.000 0.000 0.982
Tc: 0.500 0.500 0.750
Mn: 0.500 0.500 0.250

Its total energy is -20.56 eV per cell. Its magnetization is 5.7 μB per formula unit. The space group is P4/mmm, No. 123.

(17)
A plane-wave DFT calculation with PBE was carried out for Ca2MnTc after structural relaxation.

Unit cell a=5.876 b=5.876 c=5.876 alpha=144.89 beta=127.69 gamma=64.57
Element x y z (fractional)
Ca: 0.018 0.018 0.000
Ca: 0.729 0.229 0.500
Tc: 0.308 0.808 0.500
Mn: 0.445 0.445 0.000

Its total energy is -21.91 eV per cell. Its magnetization is 1.2 μB per formula unit. The space group is Imm2, No. 44.

(18)
A plane-wave DFT calculation with PBE was carried out for CaMnTc after structural relaxation.

Unit cell a=6.158 b=6.157 c=3.159 alpha=75.14 beta=75.14 gamma=29.73
Element x y z (fractional)
Mn: 0.295 0.295 0.705
Tc: 0.702 0.702 0.298
Ca: 0.004 0.004 0.996

Its total energy is -20.46 eV per cell. Its magnetization is 2.3 μB per formula unit. The space group is I4mm, No. 107.

(19)
A plane-wave DFT calculation with PBE was carried out for Ca2MnTc after structural relaxation.

Unit cell a=4.615 b=2.977 c=7.001 alpha=64.39 beta=90.00 gamma=90.00
Element x y z (fractional)
Ca: 0.000 0.009 0.991
Ca: 0.000 0.491 0.509
Mn: 0.500 0.250 0.250
Tc: 0.500 0.750 0.750

Its total energy is -20.65 eV per cell. Its magnetization is 3.6 μB per formula unit. The space group is P2/m, No. 10.

(20)
A plane-wave DFT calculation with PBE was carried out for Ca2MnTc after structural relaxation.

Unit cell a=3.924 b=3.924 c=8.396 alpha=76.58 beta=76.58 gamma=60.01
Element x y z (fractional)
Mn: 0.537 0.537 0.391
Tc: 0.213 0.213 0.362
Ca: 0.966 0.966 0.101
Ca: 0.785 0.785 0.646

Its total energy is -22.57 eV per cell. Its magnetization is 0.0 μB per formula unit. The space group is Cm, No. 8.